Record 1
! PmThTe3 | Alexandria via LeMat-Bulk | PBE | relaxed; values from VASP
! - Space-group type: Pmma, No. 51
! - V: 33.818 Å³/atom
! - M_tot: 0.000 μB per atom
! - Offset from the most stable computed form: 0.0 meV per atom
! - Fermi-level density of states: 6.683 states/eV per cell
! - Formation energy without anion corrections: -1.093 eV per atom
&SYSTEM
  ibrav = 0, nat = 10, ntyp = 3
/
ATOMIC_SPECIES
Pm 145.00 Pm.upf
Th 232.04 Th.upf
Te 127.60 Te.upf
CELL_PARAMETERS angstrom
6.291 0.000 0.000
0.000 4.508 0.000
0.000 0.000 11.925
ATOMIC_POSITIONS angstrom
Pm 1.573 0.000 1.299
Pm 4.718 0.000 10.626
Th 1.573 2.254 7.683
Th 4.718 2.254 4.242
Te 0.000 0.000 5.963
Te 1.573 0.000 10.100
Te 1.573 2.254 3.312
Te 3.145 0.000 5.963
Te 4.718 0.000 1.826
Te 4.718 2.254 8.613



Record 2
! LiZnSe2 | Alexandria via LeMat-Bulk | PBE | relaxed; values from VASP
! - Space-group type: R-3m, No. 166
! - V: 23.354 Å³/atom
! - M_tot: 0.000 μB per atom
! - Offset from the most stable computed form: 178.6 meV per atom
! - Fermi-level density of states: 7.527 states/eV per cell
! - Formation energy without anion corrections: -0.426 eV per atom
&SYSTEM
  ibrav = 0, nat = 12, ntyp = 3
/
ATOMIC_SPECIES
Li 6.94 Li.upf
Zn 65.41 Zn.upf
Se 78.96 Se.upf
CELL_PARAMETERS angstrom
3.720 0.000 0.000
-1.860 3.221 0.000
0.000 0.000 23.389
ATOMIC_POSITIONS angstrom
Li 0.000 0.000 0.000
Li 0.000 2.148 15.593
Li 1.860 1.074 7.796
Zn 0.000 0.000 11.695
Zn 0.000 2.148 3.898
Zn 1.860 1.074 19.491
Se 0.000 0.000 2.394
Se 0.000 0.000 20.995
Se 0.000 2.148 13.198
Se 0.000 2.148 17.987
Se 1.860 1.074 5.402
Se 1.860 1.074 10.191



Record 3
! TlSi2As | Alexandria via LeMat-Bulk | PBE | relaxed; values from VASP
! - Space-group type: I-42d, No. 122
! - V: 25.472 Å³/atom
! - M_tot: 0.000 μB per atom
! - Offset from the most stable computed form: 66.6 meV per atom
! - Fermi-level density of states: 0.000 states/eV per cell
! - Formation energy without anion corrections: 0.315 eV per atom
&SYSTEM
  ibrav = 0, nat = 16, ntyp = 3
/
ATOMIC_SPECIES
Tl 204.38 Tl.upf
Si 28.09 Si.upf
As 74.92 As.upf
CELL_PARAMETERS angstrom
5.938 0.000 0.000
0.000 5.938 0.000
0.000 0.000 11.558
ATOMIC_POSITIONS angstrom
Tl 0.000 0.000 0.000
Tl 0.000 2.969 2.889
Tl 2.969 0.000 8.668
Tl 2.969 2.969 5.779
Si 1.323 1.485 7.223
Si 1.485 4.292 10.113
Si 1.485 4.615 4.334
Si 1.646 1.485 1.445
Si 4.292 4.454 1.445
Si 4.454 1.323 4.334
Si 4.454 1.646 10.113
Si 4.615 4.454 7.223
As 0.000 0.000 5.779
As 0.000 2.969 8.668
As 2.969 0.000 2.889
As 2.969 2.969 0.000



Record 4
! Ba2TaOs | Alexandria via LeMat-Bulk | PBE | relaxed; values from VASP
! - Space-group type: P4/mmm, No. 123
! - V: 25.627 Å³/atom
! - M_tot: 0.000 μB per atom
! - Offset from the most stable computed form: 959.8 meV per atom
! - Fermi-level density of states: 4.057 states/eV per cell
! - Energy relative to the elements: 122 kJ/mol of atoms
&SYSTEM
  ibrav = 0, nat = 4, ntyp = 3
/
ATOMIC_SPECIES
Ba 137.33 Ba.upf
Ta 180.95 Ta.upf
Os 190.23 Os.upf
CELL_PARAMETERS angstrom
4.246 0.000 0.000
0.000 4.246 0.000
0.000 0.000 5.686
ATOMIC_POSITIONS angstrom
Ba 0.000 2.123 0.000
Ba 2.123 0.000 0.000
Ta 0.000 0.000 2.843
Os 2.123 2.123 2.843



Record 5
! La2Pm2Th | Alexandria via LeMat-Bulk | PBE | relaxed; values from VASP
! - Space-group type: Cmmm, No. 65
! - V: 34.648 Å³/atom
! - M_tot: 0.000 μB per atom
! - Offset from the most stable computed form: 58.0 meV per atom
! - Fermi-level density of states: 15.107 states/eV per cell
! - Energy relative to the elements: 7 kJ/mol of atoms
&SYSTEM
  ibrav = 0, nat = 10, ntyp = 3
/
ATOMIC_SPECIES
La 138.91 La.upf
Pm 145.00 Pm.upf
Th 232.04 Th.upf
CELL_PARAMETERS angstrom
5.423 0.000 0.000
0.000 17.841 0.000
0.000 0.000 3.581
ATOMIC_POSITIONS angstrom
La 0.000 3.474 0.000
La 0.000 14.367 0.000
La 2.711 5.446 0.000
La 2.711 12.395 0.000
Pm 0.000 7.187 1.791
Pm 0.000 10.654 1.791
Pm 2.711 1.733 1.791
Pm 2.711 16.108 1.791
Th 0.000 0.000 0.000
Th 2.711 8.921 0.000



Record 6
! Ti2GaAu2 | Alexandria via LeMat-Bulk | PBE | relaxed; values from VASP
! - Space-group type: P4/mbm, No. 127
! - V: 17.830 Å³/atom
! - M_tot: 0.000 μB per atom
! - Offset from the most stable computed form: 101.8 meV per atom
! - Fermi-level density of states: 7.578 states/eV per cell
! - Energy relative to the elements: -26 kJ/mol of atoms
&SYSTEM
  ibrav = 0, nat = 10, ntyp = 3
/
ATOMIC_SPECIES
Ti 47.87 Ti.upf
Ga 69.72 Ga.upf
Au 196.97 Au.upf
CELL_PARAMETERS angstrom
7.198 0.000 0.000
0.000 7.198 0.000
0.000 0.000 3.441
ATOMIC_POSITIONS angstrom
Ti 1.222 2.377 0.000
Ti 2.377 5.976 0.000
Ti 4.821 1.222 0.000
Ti 5.976 4.821 0.000
Ga 0.000 0.000 1.721
Ga 3.599 3.599 1.721
Au 0.962 4.561 1.721
Au 2.637 0.962 1.721
Au 4.561 6.235 1.721
Au 6.235 2.637 1.721



Q: Which of these has the highest Fermi-level density of states?
A: La2Pm2Th



Q: offset from the most stable computed form of number 6 (Ti2GaAu2)?
A: 101.8 meV per atom



Q: Fermi-level density of states of number 6 (Ti2GaAu2)?
A: 7.578 states/eV per cell